(1)
A geometry-optimized CaLaP structure. Source: Alexandria via LeMat-Bulk, functional PBE. Values from VASP.

Geometry as Quantum ESPRESSO input:
```
&SYSTEM
  ibrav = 0, nat = 6, ntyp = 3
/
ATOMIC_SPECIES
La 138.91 La.upf
P 30.97 P.upf
Ca 40.08 Ca.upf
CELL_PARAMETERS angstrom
-0.3773 4.6469 1.3959
0.5041 1.1791 4.6947
8.0457 2.9241 0.9241
ATOMIC_POSITIONS crystal
La 0.6250 0.6250 0.1251
La 0.3750 0.3750 0.8749
P 0.2468 0.2468 0.2596
P 0.7532 0.7532 0.7404
Ca 0.8733 0.8733 0.3802
Ca 0.1267 0.1267 0.6198
```

Values from the calculation:
- Crystal system: trigonal
- Energy relative to the elements: -0.875 eV/atom
- Magnetization: 0.000 μB per atom
- Fermi-level density of states: 5.26 states/eV per cell
- Density: 4.2 g/cm3



(2)
A geometry-optimized Y2AsW structure. Source: Alexandria via LeMat-Bulk, functional PBE. Values from VASP.

Geometry as Quantum ESPRESSO input:
```
&SYSTEM
  ibrav = 0, nat = 4, ntyp = 3
/
ATOMIC_SPECIES
Y 88.91 Y.upf
As 74.92 As.upf
W 183.84 W.upf
CELL_PARAMETERS angstrom
-5.4035 -0.9900 1.8256
-4.0209 -1.1757 -3.9950
5.3279 -1.8360 1.3241
ATOMIC_POSITIONS crystal
Y 0.0000 0.0000 0.0000
Y 0.2500 0.7500 0.5000
As 0.5000 0.5000 0.0000
W 0.7500 0.2500 0.5000
```

Values from the calculation:
- Crystal system: tetragonal
- Energy relative to the elements: 0.117 eV/atom
- Magnetization: 0.219 μB per atom
- Fermi-level density of states: 4.66 states/eV per cell
- Density: 8.2 g/cm3



(3)
A geometry-optimized Sr3Ca9Ac2 structure. Source: Alexandria via LeMat-Bulk, functional PBE. Values from VASP.

Geometry as Quantum ESPRESSO input:
```
&SYSTEM
  ibrav = 0, nat = 14, ntyp = 3
/
ATOMIC_SPECIES
Sr 87.62 Sr.upf
Ca 40.08 Ca.upf
Ac 227.00 Ac.upf
CELL_PARAMETERS angstrom
-6.1741 1.0823 -0.2549
-4.7961 -9.4647 -1.2157
-3.7494 -0.8607 9.9631
ATOMIC_POSITIONS crystal
Sr 0.0000 0.0000 0.0000
Sr 0.7262 0.2738 0.2738
Sr 0.2738 0.7262 0.7262
Ca 0.0000 0.5000 0.5000
Ca 0.6257 0.0032 0.7453
Ca 0.3743 0.9968 0.2547
Ca 0.6257 0.7453 0.0032
Ca 0.3743 0.2547 0.9968
Ca 0.8614 0.8682 0.4090
Ca 0.1386 0.1318 0.5910
Ca 0.8614 0.4090 0.8682
Ca 0.1386 0.5910 0.1318
Ac 0.5000 0.3614 0.6386
Ac 0.5000 0.6386 0.3614
```

Values from the calculation:
- Crystal system: orthorhombic
- Energy relative to the elements: 0.137 eV/atom
- Magnetization: 0.000 μB per atom
- Fermi-level density of states: 20.89 states/eV per cell
- Density: 2.7 g/cm3



(4)
A geometry-optimized CoPW2 structure. Source: Alexandria via LeMat-Bulk, functional PBE. Values from VASP.

Geometry as Quantum ESPRESSO input:
```
&SYSTEM
  ibrav = 0, nat = 4, ntyp = 3
/
ATOMIC_SPECIES
Co 58.93 Co.upf
P 30.97 P.upf
W 183.84 W.upf
CELL_PARAMETERS angstrom
4.8127 0.0131 0.6555
3.7854 2.9721 0.6555
1.4410 0.5003 4.1199
ATOMIC_POSITIONS crystal
Co 0.7500 0.7500 0.7500
P 0.2500 0.2500 0.2500
W 0.9811 0.9811 0.0188
W 0.5189 0.5189 0.4812
```

Values from the calculation:
- Crystal system: orthorhombic
- Energy relative to the elements: 0.134 eV/atom
- Magnetization: 0.198 μB per atom
- Fermi-level density of states: 3.35 states/eV per cell
- Density: 13.7 g/cm3



(5)
A geometry-optimized Pa3Se3O structure. Source: Alexandria via LeMat-Bulk, functional PBE. Values from VASP.

Geometry as Quantum ESPRESSO input:
```
&SYSTEM
  ibrav = 0, nat = 14, ntyp = 3
/
ATOMIC_SPECIES
Pa 231.04 Pa.upf
Se 78.96 Se.upf
O 16.00 O.upf
CELL_PARAMETERS angstrom
7.0287 0.3870 0.0775
-2.7848 6.4651 0.0775
-0.5543 -0.8950 6.8598
ATOMIC_POSITIONS crystal
Pa 0.9147 0.9147 0.1992
Pa 0.8503 0.5454 0.7010
Pa 0.5454 0.8503 0.7010
Pa 0.1497 0.4546 0.2990
Pa 0.4546 0.1497 0.2990
Pa 0.0853 0.0853 0.8008
Se 0.6038 0.6038 0.3377
Se 0.1660 0.8340 0.5000
Se 0.8340 0.1660 0.5000
Se 0.2329 0.7671 0.0000
Se 0.7671 0.2329 0.0000
Se 0.3962 0.3962 0.6623
O 0.7918 0.7918 0.8897
O 0.2082 0.2082 0.1103
```

Values from the calculation:
- Crystal system: monoclinic
- Magnetization: 0.419 μB per atom
- E_form (uncorrected): -11.0 eV per formula unit
- Fermi-level density of states: 22.52 states/eV per cell
- Density: 9.8 g/cm3



(6)
A geometry-optimized Tb3CeY4 structure. Source: Alexandria via LeMat-Bulk, functional PBE. Values from VASP.

Geometry as Quantum ESPRESSO input:
```
&SYSTEM
  ibrav = 0, nat = 8, ntyp = 3
/
ATOMIC_SPECIES
Y 88.91 Y.upf
Tb 158.93 Tb.upf
Ce 140.12 Ce.upf
CELL_PARAMETERS angstrom
3.4120 0.0000 -0.4305
-0.1715 6.6121 -1.3595
-0.2417 -1.0307 11.8207
ATOMIC_POSITIONS crystal
Y 0.7411 0.2389 0.4823
Y 0.2589 0.7611 0.5177
Y 0.1247 0.3668 0.2495
Y 0.8753 0.6332 0.7505
Tb 0.0000 0.5000 0.0000
Tb 0.1237 0.8814 0.2474
Tb 0.8763 0.1186 0.7526
Ce 0.5000 0.0000 0.0000
```

Values from the calculation:
- Crystal system: monoclinic
- Energy relative to the elements: 0.189 eV/atom
- Magnetization: 0.106 μB per atom
- Fermi-level density of states: 16.20 states/eV per cell
- Density: 6.2 g/cm3



(7)
A geometry-optimized Pm2Sm7Dy3 structure. Source: Alexandria via LeMat-Bulk, functional PBE. Values from VASP.

Geometry as Quantum ESPRESSO input:
```
&SYSTEM
  ibrav = 0, nat = 12, ntyp = 3
/
ATOMIC_SPECIES
Pm 145.00 Pm.upf
Sm 150.36 Sm.upf
Dy 162.50 Dy.upf
CELL_PARAMETERS angstrom
-1.8653 2.4879 -1.7358
-0.6727 -3.9917 -4.9983
-15.3112 -9.0877 3.4286
ATOMIC_POSITIONS crystal
Pm 0.5000 0.6132 0.3289
Pm 0.5000 0.3868 0.6711
Sm 0.5000 0.2401 0.5028
Sm 0.5000 0.7599 0.4972
Sm 0.0000 0.5597 0.1649
Sm 0.0000 0.0000 0.0000
Sm 0.0000 0.4403 0.8351
Sm 0.5000 0.9414 0.8312
Sm 0.5000 0.0586 0.1688
Dy 0.5000 0.5000 0.0000
Dy 0.0000 0.1128 0.3410
Dy 0.0000 0.8872 0.6590
```

Values from the calculation:
- Crystal system: monoclinic
- Energy relative to the elements: 0.069 eV/atom
- Magnetization: 0.000 μB per atom
- Fermi-level density of states: 17.99 states/eV per cell
- Energy relative to the lowest polymorph listed for this composition: 0.000 eV per atom
- Density: 7.6 g/cm3



(8)
A geometry-optimized PdRh2Se structure. Source: Alexandria via LeMat-Bulk, functional PBE. Values from VASP.

Geometry as Quantum ESPRESSO input:
```
&SYSTEM
  ibrav = 0, nat = 8, ntyp = 3
/
ATOMIC_SPECIES
Rh 102.91 Rh.upf
Se 78.96 Se.upf
Pd 106.42 Pd.upf
CELL_PARAMETERS angstrom
-3.6587 -3.7091 -0.1217
2.2313 -2.0620 -4.2342
2.8747 -6.5458 1.4956
ATOMIC_POSITIONS crystal
Rh 0.5890 0.1250 0.2500
Rh 0.1610 0.6250 0.2500
Rh 0.3750 0.4110 0.7500
Rh 0.8750 0.8390 0.7500
Se 0.5000 0.5000 0.0000
Se 0.2500 0.7500 0.5000
Pd 0.0000 0.0000 0.0000
Pd 0.7500 0.2500 0.5000
```

Values from the calculation:
- Crystal system: tetragonal
- Magnetization: 0.000 μB per atom
- E_form (uncorrected): 1.9 eV per formula unit
- Fermi-level density of states: 4.67 states/eV per cell
- Density: 7.6 g/cm3



(9)
A geometry-optimized Ca3LaIr structure. Source: Alexandria via LeMat-Bulk, functional PBE. Values from VASP.

Geometry as Quantum ESPRESSO input:
```
&SYSTEM
  ibrav = 0, nat = 5, ntyp = 3
/
ATOMIC_SPECIES
Ca 40.08 Ca.upf
Ir 192.22 Ir.upf
La 138.91 La.upf
CELL_PARAMETERS angstrom
5.5701 0.0000 0.0000
0.0000 5.5701 0.0000
0.0000 0.0000 5.5701
ATOMIC_POSITIONS crystal
Ca 0.0000 0.5000 0.0000
Ca 0.0000 0.0000 0.5000
Ca 0.5000 0.0000 0.0000
Ir 0.0000 0.0000 0.0000
La 0.5000 0.5000 0.5000
```

Values from the calculation:
- Crystal system: cubic
- Energy relative to the elements: -0.029 eV/atom
- Magnetization: 0.000 μB per atom
- Fermi-level density of states: 3.65 states/eV per cell
- Energy relative to the lowest polymorph listed for this composition: 0.281 eV per atom
- Density: 4.3 g/cm3



Which of these has the lowest Fermi-level density of states? CoPW2